Entry from the Alexandria database: a relaxed structure of Rb2CaCo2O4 (GGA+U).

```
Rb2CaCo2O4
1.0
3.542 0.000 0.000
-1.771 6.777 0.092
0.000 -2.308 6.302
Rb Ca Co O
2 1 2 4
direct
0.873 0.746 0.473
0.127 0.254 0.527
0.000 0.000 0.000
0.329 0.658 0.028
0.671 0.342 0.972
0.799 0.598 0.866
0.201 0.402 0.134
0.471 0.942 0.210
0.529 0.058 0.790
```

Properties
The spin magnetization comes out at 6.000 μB/f.u. The value obtained for the density is 4.3 Mg/m³. The space-group type is C2/m (12). The uncorrected energy is -5.252 eV per atom.